A:
Density functional theory data (PBE) for a geometry-optimized LuZr2Cu structure.

For the mass density, the calculation gives 8.2 g/cm3. The space-group type is No. 123. Its density of states at the Fermi level is 4.8 states/eV/f.u.

Lattice parameters (Å, degrees): 3.258 3.258 8.076 90.00 90.00 90.00
Element x y z (fractional)
Lu 0.500 0.500 0.500
Zr 0.000 0.000 0.788
Zr 0.000 0.000 0.212
Cu 0.500 0.500 0.000



B:
Density functional theory data (PBE) for a geometry-optimized LuZr2Cu structure.

For the mass density, the calculation gives 7.8 g/cm3. The space-group type is No. 166. Its density of states at the Fermi level is 4.8 states/eV/f.u.

Lattice parameters (Å, degrees): 3.115 3.115 10.854 81.75 81.75 60.00
Element x y z (fractional)
Lu 0.000 0.000 0.000
Zr 0.099 0.099 0.704
Zr 0.901 0.901 0.296
Cu 0.500 0.500 0.500



In terms of stability, A leads; the second structure lies 332 meV/atom higher.



A:
Density functional theory data (PBE) for a geometry-optimized Lu2ZrCu structure.

For the mass density, the calculation gives 8.8 g/cm3. The space-group type is No. 166. Its density of states at the Fermi level is 3.7 states/eV/f.u.

Lattice parameters (Å, degrees): 3.227 3.227 10.758 81.37 81.37 60.00
Element x y z (fractional)
Lu 0.099 0.099 0.703
Lu 0.901 0.901 0.297
Cu 0.500 0.500 0.500
Zr 0.000 0.000 0.000



B:
Density functional theory data (PBE) for a geometry-optimized Lu2ZrCu structure.

For the mass density, the calculation gives 9.2 g/cm3. The space-group type is No. 123. Its density of states at the Fermi level is 4.4 states/eV/f.u.

Lattice parameters (Å, degrees): 3.324 3.324 8.207 90.00 90.00 90.00
Element x y z (fractional)
Lu 0.000 0.000 0.784
Lu 0.000 0.000 0.216
Zr 0.500 0.500 0.500
Cu 0.500 0.500 0.000



In terms of stability, B leads; the second structure lies 432 meV/atom higher.